# TbV2NiO8, relaxed, DFT PBE+U
data_TbV2NiO8
_chemical_formula_sum 'Tb1 V2 Ni1 O8'
_symmetry_space_group_name_H-M 'P 1'
_symmetry_Int_Tables_number 1
_symmetry_space_group_name_Hall 'P 1'
_cell_length_a 5.7646
_cell_length_b 5.7646
_cell_length_c 5.8757
_cell_angle_alpha 90.00
_cell_angle_beta 90.00
_cell_angle_gamma 120.00
loop_
_atom_site_label
_atom_site_type_symbol
_atom_site_fract_x
_atom_site_fract_y
_atom_site_fract_z
_atom_site_occupancy
Tb1 Tb 0.0000 0.0000 0.0000 1
V1 V 0.3333 0.6667 0.6390 1
V2 V 0.6667 0.3333 0.3610 1
Ni1 Ni 0.0000 0.0000 0.5000 1
O1 O 0.1618 0.3235 0.7260 1
O2 O 0.1618 0.8382 0.7260 1
O3 O 0.3235 0.1618 0.2740 1
O4 O 0.3333 0.6667 0.3586 1
O5 O 0.6667 0.3333 0.6414 1
O6 O 0.6765 0.8382 0.7260 1
O7 O 0.8382 0.1618 0.2740 1
O8 O 0.8382 0.6765 0.2740 1
# Space group: No. 164
# Fermi-level density of states (states/eV/f.u.): 4.142
# Density (g cm⁻³): 4.4
# Final energy (eV/atom): -7.043